{
  "formula": "HfInNiAu",
  "functional": "PBE-GGA",
  "state": "relaxed",
  "cell": [[6.565, 0.000, 0.000], [0.000, 6.565, 0.000], [0.000, 0.000, 6.565]],
  "species": ["Hf", "Hf", "Hf", "Hf", "In", "In", "In", "In", "Ni", "Ni", "Ni", "Ni", "Au", "Au", "Au", "Au"],
  "fractional_positions": [[0.000, 0.000, 0.000], [0.000, 0.500, 0.500], [0.500, 0.000, 0.500], [0.500, 0.500, 0.000], [0.000, 0.000, 0.500], [0.000, 0.500, 0.000], [0.500, 0.000, 0.000], [0.500, 0.500, 0.500], [0.250, 0.250, 0.250], [0.250, 0.750, 0.750], [0.750, 0.250, 0.750], [0.750, 0.750, 0.250], [0.250, 0.250, 0.750], [0.250, 0.750, 0.250], [0.750, 0.250, 0.250], [0.750, 0.750, 0.750]],
  "formation_energy_ev_per_atom": -0.352
}

---

{
  "formula": "Tl3Cd2Bi2",
  "functional": "PBE-GGA",
  "state": "relaxed",
  "cell": [[9.440, 0.000, 0.000], [0.000, 5.481, 0.000], [-3.256, 0.000, 8.100]],
  "species": ["Tl", "Tl", "Tl", "Tl", "Tl", "Tl", "Cd", "Cd", "Cd", "Cd", "Bi", "Bi", "Bi", "Bi"],
  "fractional_positions": [[0.000, 0.000, 0.000], [0.142, 0.000, 0.422], [0.358, 0.500, 0.578], [0.500, 0.500, 0.000], [0.642, 0.500, 0.422], [0.858, 0.000, 0.578], [0.218, 0.500, 0.151], [0.282, 0.000, 0.849], [0.718, 0.000, 0.151], [0.782, 0.500, 0.849], [0.084, 0.500, 0.758], [0.416, 0.000, 0.242], [0.584, 0.000, 0.758], [0.916, 0.500, 0.242]],
  "formation_energy_ev_per_atom": 0.001
}

---

{
  "formula": "BiPdPb2",
  "functional": "PBE-GGA",
  "state": "relaxed",
  "cell": [[3.661, 0.000, 0.000], [0.000, 10.187, 0.000], [0.000, 0.000, 12.085]],
  "species": ["Bi", "Bi", "Bi", "Bi", "Pd", "Pd", "Pd", "Pd", "Pb", "Pb", "Pb", "Pb", "Pb", "Pb", "Pb", "Pb"],
  "fractional_positions": [[0.000, 0.140, 0.250], [0.000, 0.860, 0.750], [0.500, 0.360, 0.750], [0.500, 0.640, 0.250], [0.000, 0.425, 0.250], [0.000, 0.575, 0.750], [0.500, 0.075, 0.750], [0.500, 0.925, 0.250], [0.000, 0.137, 0.570], [0.000, 0.137, 0.930], [0.000, 0.863, 0.070], [0.000, 0.863, 0.430], [0.500, 0.363, 0.070], [0.500, 0.363, 0.430], [0.500, 0.637, 0.570], [0.500, 0.637, 0.930]],
  "formation_energy_ev_per_atom": -0.076
}

---

{
  "formula": "PmPaTcSb",
  "functional": "PBE-GGA",
  "state": "relaxed",
  "cell": [[7.117, 0.000, 0.000], [0.000, 7.117, 0.000], [0.000, 0.000, 7.117]],
  "species": ["Pm", "Pm", "Pm", "Pm", "Pa", "Pa", "Pa", "Pa", "Tc", "Tc", "Tc", "Tc", "Sb", "Sb", "Sb", "Sb"],
  "fractional_positions": [[0.000, 0.000, 0.000], [0.000, 0.500, 0.500], [0.500, 0.000, 0.500], [0.500, 0.500, 0.000], [0.250, 0.250, 0.250], [0.250, 0.750, 0.750], [0.750, 0.250, 0.750], [0.750, 0.750, 0.250], [0.250, 0.250, 0.750], [0.250, 0.750, 0.250], [0.750, 0.250, 0.250], [0.750, 0.750, 0.750], [0.000, 0.000, 0.500], [0.000, 0.500, 0.000], [0.500, 0.000, 0.000], [0.500, 0.500, 0.500]],
  "energy_ev_per_cell": -111.78
}

---

{
  "formula": "PmSb3Pd3",
  "functional": "PBE-GGA",
  "state": "relaxed",
  "cell": [[7.251, 0.000, 0.000], [0.000, 7.251, 0.000], [0.000, 0.000, 7.251]],
  "species": ["Pm", "Pm", "Sb", "Sb", "Sb", "Sb", "Sb", "Sb", "Pd", "Pd", "Pd", "Pd", "Pd", "Pd"],
  "fractional_positions": [[0.000, 0.000, 0.000], [0.500, 0.500, 0.500], [0.000, 0.250, 0.500], [0.000, 0.750, 0.500], [0.250, 0.500, 0.000], [0.500, 0.000, 0.250], [0.500, 0.000, 0.750], [0.750, 0.500, 0.000], [0.000, 0.500, 0.250], [0.000, 0.500, 0.750], [0.250, 0.000, 0.500], [0.500, 0.250, 0.000], [0.500, 0.750, 0.000], [0.750, 0.000, 0.500]],
  "energy_ev_per_cell": -68.64
}

---

{
  "formula": "InSiHg2",
  "functional": "PBE-GGA",
  "state": "relaxed",
  "cell": [[4.038, 0.000, 0.000], [0.000, 5.298, 0.000], [0.000, 0.000, 8.858]],
  "species": ["In", "In", "Si", "Si", "Hg", "Hg", "Hg", "Hg"],
  "fractional_positions": [[0.000, 0.000, 0.000], [0.500, 0.500, 0.000], [0.000, 0.500, 0.227], [0.500, 0.000, 0.227], [0.000, 0.000, 0.451], [0.000, 0.500, 0.722], [0.500, 0.000, 0.722], [0.500, 0.500, 0.451]],
  "energy_ev_per_cell": -15.06
}

---

{
  "formula": "DyTcNiGe2",
  "functional": "PBE-GGA",
  "state": "relaxed",
  "cell": [[4.094, 0.000, 0.000], [0.000, 4.094, 0.000], [0.000, 0.000, 10.357]],
  "species": ["Dy", "Dy", "Tc", "Tc", "Ni", "Ni", "Ge", "Ge", "Ge", "Ge"],
  "fractional_positions": [[0.000, 0.000, 0.000], [0.500, 0.500, 0.500], [0.000, 0.500, 0.750], [0.500, 0.000, 0.250], [0.000, 0.500, 0.250], [0.500, 0.000, 0.750], [0.000, 0.000, 0.376], [0.000, 0.000, 0.624], [0.500, 0.500, 0.124], [0.500, 0.500, 0.876]],
  "formation_energy_ev_per_atom": -0.545
}

---

{
  "formula": "LaNdSe2",
  "functional": "PBE-GGA",
  "state": "relaxed",
  "cell": [[4.174, 0.000, 0.000], [-2.087, 3.615, 0.000], [0.000, 0.000, 22.219]],
  "species": ["La", "La", "La", "Nd", "Nd", "Nd", "Se", "Se", "Se", "Se", "Se", "Se"],
  "fractional_positions": [[0.000, 0.000, 0.000], [0.333, 0.667, 0.667], [0.667, 0.333, 0.333], [0.000, 0.000, 0.823], [0.333, 0.667, 0.489], [0.667, 0.333, 0.156], [0.000, 0.000, 0.412], [0.000, 0.000, 0.577], [0.333, 0.667, 0.078], [0.333, 0.667, 0.244], [0.667, 0.333, 0.745], [0.667, 0.333, 0.910]],
  "de_polymorph_mev_per_atom": 52
}

---

{
  "formula": "InBi2O5",
  "functional": "PBE-GGA",
  "state": "relaxed",
  "cell": [[7.975, 0.000, 0.000], [0.000, 3.774, 0.000], [0.000, 0.000, 16.338]],
  "species": ["In", "In", "In", "In", "Bi", "Bi", "Bi", "Bi", "Bi", "Bi", "Bi", "Bi", "O", "O", "O", "O", "O", "O", "O", "O", "O", "O", "O", "O", "O", "O", "O", "O", "O", "O", "O", "O"],
  "fractional_positions": [[0.123, 0.250, 0.073], [0.377, 0.750, 0.573], [0.623, 0.250, 0.427], [0.877, 0.750, 0.927], [0.132, 0.250, 0.750], [0.134, 0.250, 0.427], [0.366, 0.750, 0.927], [0.368, 0.750, 0.250], [0.632, 0.250, 0.750], [0.634, 0.250, 0.073], [0.866, 0.750, 0.573], [0.868, 0.750, 0.250], [0.076, 0.750, 0.835], [0.117, 0.750, 0.307], [0.125, 0.750, 0.014], [0.125, 0.750, 0.502], [0.193, 0.750, 0.673], [0.307, 0.250, 0.173], [0.375, 0.250, 0.002], [0.375, 0.250, 0.514], [0.383, 0.250, 0.807], [0.424, 0.250, 0.335], [0.576, 0.750, 0.665], [0.617, 0.750, 0.193], [0.625, 0.750, 0.486], [0.625, 0.750, 0.998], [0.693, 0.750, 0.827], [0.807, 0.250, 0.327], [0.875, 0.250, 0.498], [0.875, 0.250, 0.986], [0.883, 0.250, 0.693], [0.924, 0.250, 0.165]],
  "de_polymorph_mev_per_atom": 0
}

---

{
  "formula": "AsIr2Rh",
  "functional": "PBE-GGA",
  "state": "relaxed",
  "cell": [[3.907, 0.000, 0.000], [0.000, 3.907, 0.000], [0.000, 0.000, 3.846]],
  "species": ["As", "Ir", "Ir", "Rh"],
  "fractional_positions": [[0.000, 0.000, 0.000], [0.000, 0.500, 0.500], [0.500, 0.000, 0.500], [0.500, 0.500, 0.000]],
  "formation_energy_ev_per_atom": 0.070
}

---

{
  "formula": "Sc3Cd5O12",
  "functional": "PBE-GGA",
  "state": "relaxed",
  "cell": [[-6.436, 6.436, 6.436], [6.436, -6.436, 6.436], [6.436, 6.436, -6.436]],
  "species": ["Sc", "Sc", "Sc", "Sc", "Sc", "Sc", "Sc", "Sc", "Sc", "Sc", "Sc", "Sc", "Cd", "Cd", "Cd", "Cd", "Cd", "Cd", "Cd", "Cd", "Cd", "Cd", "Cd", "Cd", "Cd", "Cd", "Cd", "Cd", "Cd", "Cd", "Cd", "Cd", "O", "O", "O", "O", "O", "O", "O", "O", "O", "O", "O", "O", "O", "O", "O", "O", "O", "O", "O", "O", "O", "O", "O", "O", "O", "O", "O", "O", "O", "O", "O", "O", "O", "O", "O", "O", "O", "O", "O", "O", "O", "O", "O", "O", "O", "O", "O", "O"],
  "fractional_positions": [[0.125, 0.250, 0.375], [0.125, 0.375, 0.750], [0.250, 0.375, 0.125], [0.250, 0.875, 0.625], [0.375, 0.125, 0.250], [0.375, 0.750, 0.125], [0.625, 0.250, 0.875], [0.625, 0.875, 0.750], [0.750, 0.125, 0.375], [0.750, 0.625, 0.875], [0.875, 0.625, 0.250], [0.875, 0.750, 0.625], [0.000, 0.000, 0.000], [0.000, 0.000, 0.500], [0.000, 0.500, 0.000], [0.000, 0.500, 0.500], [0.125, 0.750, 0.875], [0.125, 0.875, 0.250], [0.250, 0.125, 0.875], [0.250, 0.625, 0.375], [0.375, 0.250, 0.625], [0.375, 0.625, 0.750], [0.500, 0.000, 0.000], [0.500, 0.000, 0.500], [0.500, 0.500, 0.000], [0.500, 0.500, 0.500], [0.625, 0.375, 0.250], [0.625, 0.750, 0.375], [0.750, 0.375, 0.625], [0.750, 0.875, 0.125], [0.875, 0.125, 0.750], [0.875, 0.250, 0.125], [0.066, 0.235, 0.146], [0.066, 0.331, 0.920], [0.080, 0.646, 0.411], [0.080, 0.934, 0.669], [0.089, 0.735, 0.669], [0.089, 0.854, 0.420], [0.146, 0.066, 0.235], [0.146, 0.580, 0.911], [0.169, 0.235, 0.589], [0.169, 0.434, 0.580], [0.235, 0.146, 0.066], [0.235, 0.589, 0.169], [0.265, 0.331, 0.911], [0.265, 0.434, 0.354], [0.331, 0.911, 0.265], [0.331, 0.920, 0.066], [0.354, 0.265, 0.434], [0.354, 0.589, 0.920], [0.411, 0.080, 0.646], [0.411, 0.831, 0.765], [0.420, 0.089, 0.854], [0.420, 0.831, 0.566], [0.434, 0.354, 0.265], [0.434, 0.580, 0.169], [0.566, 0.420, 0.831], [0.566, 0.646, 0.735], [0.580, 0.169, 0.434], [0.580, 0.911, 0.146], [0.589, 0.169, 0.235], [0.589, 0.920, 0.354], [0.646, 0.411, 0.080], [0.646, 0.735, 0.566], [0.669, 0.080, 0.934], [0.669, 0.089, 0.735], [0.735, 0.566, 0.646], [0.735, 0.669, 0.089], [0.765, 0.411, 0.831], [0.765, 0.854, 0.934], [0.831, 0.566, 0.420], [0.831, 0.765, 0.411], [0.854, 0.420, 0.089], [0.854, 0.934, 0.765], [0.911, 0.146, 0.580], [0.911, 0.265, 0.331], [0.920, 0.066, 0.331], [0.920, 0.354, 0.589], [0.934, 0.669, 0.080], [0.934, 0.765, 0.854]],
  "energy_ev_per_cell": -446.75
}

---

{
  "formula": "AcZn3Ni",
  "functional": "PBE-GGA",
  "state": "relaxed",
  "cell": [[4.217, 0.000, 0.000], [0.000, 4.217, 0.000], [0.000, 0.000, 11.110]],
  "species": ["Ac", "Ac", "Zn", "Zn", "Zn", "Zn", "Zn", "Zn", "Ni", "Ni"],
  "fractional_positions": [[0.000, 0.000, 0.000], [0.500, 0.500, 0.500], [0.000, 0.000, 0.621], [0.000, 0.500, 0.263], [0.000, 0.500, 0.763], [0.500, 0.000, 0.263], [0.500, 0.000, 0.763], [0.500, 0.500, 0.121], [0.000, 0.000, 0.394], [0.500, 0.500, 0.894]],
  "de_polymorph_mev_per_atom": 0,
  "formation_energy_ev_per_atom": -0.285
}

---

no.,volume (Å³ per cell),N(E_F) (states/eV/cell)
1,283,5.16
2,419,4.86
3,451,5.74
4,361,15.69
5,381,9.41
6,189,3.21
7,174,5.25
8,335,2.67
9,492,6.86
10,59,1.71
11,1066,52.22
12,198,6.43